! KB2MoF8 (GGA+U, relaxed); values from VASP
&SYSTEM
  ibrav = 0, nat = 12, ntyp = 4
/
ATOMIC_SPECIES
F 19.00 F.upf
Mo 95.94 Mo.upf
B 10.81 B.upf
K 39.10 K.upf
CELL_PARAMETERS angstrom
5.254 0.000 0.000
2.627 4.550 0.000
2.627 1.517 7.346
ATOMIC_POSITIONS crystal
F 0.993 0.500 0.202
F 0.695 0.007 0.798
F 0.007 0.500 0.798
F 0.819 0.819 0.542
F 0.500 0.305 0.202
F 0.305 0.993 0.202
F 0.500 0.695 0.798
F 0.181 0.181 0.458
Mo 0.000 0.000 0.000
B 0.755 0.755 0.735
B 0.245 0.245 0.265
K 0.500 0.500 0.500
! SG: R-3 (148)
! Energy in eV for the cell shown: -65.08